No. 1
The following is a PBE calculation of an optimized crystal structure of Pa2TlCu, from the Alexandria database.

a = 3.160 Å, b = 3.160 Å, c = 9.020 Å
α = 90.00°, β = 90.00°, γ = 90.00°
Space group P4/mmm (No. 123)
Symmetry-distinct sites (fractional):
Pa: 0.000 0.000 0.217 [2 per cell]
Tl: 0.500 0.500 0.500 [1 per cell]
Cu: 0.500 0.500 0.000 [1 per cell]

Calculated values
The value obtained for the total magnetization is 0.2 μB/f.u. The volume is 22.52 Å³ per atom. The value obtained for the formation energy from the elements is 14.1 kJ per mole of atoms. The total DFT energy (no corrections) is -6.22 eV/atom. The energy above the most stable polymorph in this dataset is 0.0 kJ/mol of atoms.

No. 2
The following is a PBE calculation of an optimized crystal structure of PaTlZnCu, from the Alexandria database.

a = 6.848 Å, b = 6.848 Å, c = 6.848 Å
α = 90.00°, β = 90.00°, γ = 90.00°
Space group F-43m (No. 216)
Symmetry-distinct sites (fractional):
Pa: 0.000 0.000 0.000 [4 per cell]
Tl: 0.000 0.000 0.500 [4 per cell]
Zn: 0.250 0.250 0.250 [4 per cell]
Cu: 0.250 0.250 0.750 [4 per cell]

Calculated values
The value obtained for the total magnetization is 0.0 μB/f.u. The volume is 20.07 Å³ per atom. The value obtained for the formation energy from the elements is 12.1 kJ per mole of atoms. The total DFT energy (no corrections) is -4.18 eV/atom.

No. 3
The following is a PBE calculation of an optimized crystal structure of TmPa2Cu6, from the Alexandria database.

a = 7.5636 Å, b = 7.5636 Å, c = 3.1485 Å
α = 90.00°, β = 90.00°, γ = 120.00°
Space group P6/mmm (No. 191)
Symmetry-distinct sites (fractional):
Tm: 0.0000 0.0000 0.0000 [1 per cell]
Pa: 0.3333 0.6667 0.0000 [2 per cell]
Cu: 0.0000 0.3325 0.5000 [6 per cell]

Calculated values
The value obtained for the total magnetization is 0.5 μB/f.u. The volume is 17.33 Å³ per atom. The value obtained for the formation energy from the elements is -11.3 kJ per mole of atoms. The total DFT energy (no corrections) is -5.45 eV/atom.

No. 4
The following is a PBE calculation of an optimized crystal structure of TmPa2Cu9, from the Alexandria database.

a = 5.0547 Å, b = 5.0547 Å, c = 25.3598 Å
α = 90.00°, β = 90.00°, γ = 120.00°
Space group R-3m (No. 166, hexagonal axes)
Symmetry-distinct sites (fractional):
Tm: 0.0000 0.0000 0.0000 [3 per cell]
Pa: 0.0000 0.0000 0.1459 [6 per cell]
Cu: 0.0000 0.0000 0.3328 [6 per cell]
Cu: 0.0000 0.0000 0.5000 [3 per cell]
Cu: 0.0007 0.5003 0.0810 [18 per cell]

Calculated values
The value obtained for the total magnetization is 0.0 μB/f.u. The volume is 15.59 Å³ per atom. The value obtained for the formation energy from the elements is -8.7 kJ per mole of atoms. The total DFT energy (no corrections) is -5.12 eV/atom.

No. 5
The following is a PBE calculation of an optimized crystal structure of TmPaCu, from the Alexandria database.

a = 3.256 Å, b = 16.073 Å, c = 5.096 Å
α = 90.00°, β = 90.00°, γ = 90.00°
Space group Cmcm (No. 63)
Symmetry-distinct sites (fractional):
Tm: 0.000 0.075 0.250 [4 per cell]
Pa: 0.000 0.232 0.750 [4 per cell]
Cu: 0.000 0.419 0.250 [4 per cell]

Calculated values
The value obtained for the total magnetization is 0.0 μB/f.u. The volume is 22.23 Å³ per atom. The value obtained for the formation energy from the elements is -4.6 kJ per mole of atoms. The total DFT energy (no corrections) is -6.07 eV/atom. The energy above the most stable polymorph in this dataset is 0.0 kJ/mol of atoms.

No. 6
The following is a PBE calculation of an optimized crystal structure of TmPaCu, from the Alexandria database.

a = 3.260 Å, b = 3.260 Å, c = 12.616 Å
α = 90.00°, β = 90.00°, γ = 90.00°
Space group I4mm (No. 107)
Symmetry-distinct sites (fractional):
Tm: 0.000 0.000 0.000 [2 per cell]
Pa: 0.000 0.000 0.296 [2 per cell]
Cu: 0.000 0.000 0.644 [2 per cell]

Calculated values
The value obtained for the total magnetization is 0.0 μB/f.u. The volume is 22.35 Å³ per atom. The value obtained for the formation energy from the elements is 6.5 kJ per mole of atoms. The total DFT energy (no corrections) is -5.95 eV/atom. The energy above the most stable polymorph in this dataset is 11.1 kJ/mol of atoms.

No. 7
The following is a PBE calculation of an optimized crystal structure of TmPaCu10, from the Alexandria database.

a = 4.102 Å, b = 5.029 Å, c = 8.638 Å
α = 90.00°, β = 90.00°, γ = 90.00°
Space group Pmmm (No. 47)
Symmetry-distinct sites (fractional):
Tm: 0.000 0.000 0.000 [1 per cell]
Pa: 0.000 0.500 0.500 [1 per cell]
Cu: 0.000 0.000 0.332 [2 per cell]
Cu: 0.000 0.500 0.165 [2 per cell]
Cu: 0.500 0.000 0.500 [1 per cell]
Cu: 0.500 0.252 0.251 [4 per cell]
Cu: 0.500 0.500 0.000 [1 per cell]

Calculated values
The value obtained for the total magnetization is 0.5 μB/f.u. The volume is 14.85 Å³ per atom. The value obtained for the formation energy from the elements is -8.9 kJ per mole of atoms. The total DFT energy (no corrections) is -4.67 eV/atom.

No. 8
The following is a PBE calculation of an optimized crystal structure of TmPaCu4, from the Alexandria database.

a = 7.351 Å, b = 7.351 Å, c = 7.351 Å
α = 90.00°, β = 90.00°, γ = 90.00°
Space group F-43m (No. 216)
Symmetry-distinct sites (fractional):
Tm: 0.000 0.000 0.000 [4 per cell]
Pa: 0.250 0.250 0.250 [4 per cell]
Cu: 0.125 0.125 0.625 [16 per cell]

Calculated values
The value obtained for the total magnetization is 0.0 μB/f.u. The volume is 16.55 Å³ per atom. The value obtained for the formation energy from the elements is -4.6 kJ per mole of atoms. The total DFT energy (no corrections) is -5.11 eV/atom.

No. 9
The following is a PBE calculation of an optimized crystal structure of UPaCu4, from the Alexandria database.

a = 7.310 Å, b = 7.310 Å, c = 7.310 Å
α = 90.00°, β = 90.00°, γ = 90.00°
Space group F-43m (No. 216)
Symmetry-distinct sites (fractional):
U: 0.000 0.000 0.000 [4 per cell]
Pa: 0.250 0.250 0.250 [4 per cell]
Cu: 0.125 0.125 0.625 [16 per cell]

Calculated values
The value obtained for the total magnetization is 2.5 μB/f.u. The volume is 16.27 Å³ per atom. The value obtained for the formation energy from the elements is 12.5 kJ per mole of atoms. The total DFT energy (no corrections) is -6.07 eV/atom.

No. 10
The following is a PBE calculation of an optimized crystal structure of UPaCu, from the Alexandria database.

a = 13.031 Å, b = 3.779 Å, c = 4.841 Å
α = 90.00°, β = 96.37°, γ = 90.00°
Space group C2/m (No. 12)
Symmetry-distinct sites (fractional):
U: 0.239 0.000 0.242 [4 per cell]
Pa: 0.092 0.500 0.242 [4 per cell]
Cu: 0.083 0.000 0.711 [4 per cell]

Calculated values
The value obtained for the total magnetization is 0.0 μB/f.u. The volume is 19.74 Å³ per atom. The value obtained for the formation energy from the elements is 13.7 kJ per mole of atoms. The total DFT energy (no corrections) is -8.15 eV/atom.

No. 11
The following is a PBE calculation of an optimized crystal structure of YPaCu, from the Alexandria database.

a = 3.289 Å, b = 16.220 Å, c = 5.151 Å
α = 90.00°, β = 90.00°, γ = 90.00°
Space group Cmcm (No. 63)
Symmetry-distinct sites (fractional):
Y: 0.000 0.074 0.250 [4 per cell]
Pa: 0.000 0.235 0.750 [4 per cell]
Cu: 0.000 0.413 0.250 [4 per cell]

Calculated values
The value obtained for the total magnetization is 0.0 μB/f.u. The volume is 22.90 Å³ per atom. The value obtained for the formation energy from the elements is -2.3 kJ per mole of atoms. The total DFT energy (no corrections) is -6.71 eV/atom. The energy above the most stable polymorph in this dataset is 0.0 kJ/mol of atoms.